CaMgH4Pd2 | PBE-GGA | relaxed

Output
E_tot (eV per atom): -3.862
Density (kg/m3): 5164
Crystal system: tetragonal
N(E_F) (states/eV per atom): 0.13

```
8
Lattice="3.555 0.000 0.000 0.000 3.555 0.000 0.000 0.000 7.158" Properties=species:S:1:pos:R:3 pbc="T T T"
Mg 0.000 0.000 3.579
H 1.777 0.000 1.730
Pd 1.777 1.777 2.019
H 0.000 1.777 1.730
H 1.777 0.000 5.428
Pd 1.777 1.777 5.139
Ca 0.000 0.000 0.000
H 0.000 1.777 5.428
```